NaNiC2O6 | GGA+U | relaxed

Lattice parameters (Å, degrees): 6.063 6.063 6.063 46.05 46.05 46.05
Sites, in units of the cell vectors:
Na: 0.000 0.000 0.000
Ni: 0.500 0.500 0.500
C: 0.236 0.236 0.236
C: 0.764 0.764 0.764
O: 0.049 0.505 0.732
O: 0.268 0.951 0.495
O: 0.495 0.268 0.951
O: 0.505 0.732 0.049
O: 0.732 0.049 0.505
O: 0.951 0.495 0.268

## Properties
Density in g/cm³: 3.177
Symmetry: R-3 (148)
E in eV per formula unit: -64.88